Entry 1:
Material: YO
Method: DFT, PBE
State: optimized geometry

Summary:
formation energy without anion corrections	-2885	meV per atom
total energy	-8.596	eV per atom
space group	No. 70
D(E_F)	0.1512	states/eV/atom

Structure (CIF):
```
data_YO
_cell_length_a 6.697
_cell_length_b 6.429
_cell_length_c 5.644
_cell_angle_alpha 67.02
_cell_angle_beta 62.10
_cell_angle_gamma 50.88
_space_group_name_H-M_alt 'P 1'
_space_group_IT_number 1
_space_group_name_Hall 'P 1'
loop_
_atom_site_label
_atom_site_fract_x
_atom_site_fract_y
_atom_site_fract_z
Y1 0.085 0.665 0.085
Y2 0.335 0.915 0.335
Y3 0.665 0.085 0.665
Y4 0.915 0.335 0.915
O1 0.010 0.010 0.740
O2 0.260 0.260 0.990
O3 0.740 0.740 0.010
O4 0.990 0.990 0.260
```


Entry 2:
Material: Y3O
Method: DFT, PBE
State: optimized geometry

Summary:
formation energy without anion corrections	-1084	meV per atom
total energy	-7.172	eV per atom
space group	No. 44
D(E_F)	0.8857	states/eV/atom

Structure (CIF):
```
data_Y3O
_cell_length_a 6.023
_cell_length_b 6.023
_cell_length_c 6.023
_cell_angle_alpha 148.78
_cell_angle_beta 68.27
_cell_angle_gamma 121.00
_space_group_name_H-M_alt 'P 1'
_space_group_IT_number 1
_space_group_name_Hall 'P 1'
loop_
_atom_site_label
_atom_site_fract_x
_atom_site_fract_y
_atom_site_fract_z
Y1 0.000 0.000 0.000
Y2 0.317 0.484 0.833
Y3 0.651 0.484 0.167
O1 0.295 0.795 0.500
```


Entry 3:
Material: YO
Method: DFT, PBE
State: optimized geometry

Summary:
formation energy without anion corrections	-2678	meV per atom
total energy	-8.389	eV per atom
space group	No. 136
D(E_F)	0.5994	states/eV/atom

Structure (CIF):
```
data_YO
_cell_length_a 6.468
_cell_length_b 6.468
_cell_length_c 3.642
_cell_angle_alpha 90.00
_cell_angle_beta 90.00
_cell_angle_gamma 90.00
_space_group_name_H-M_alt 'P 1'
_space_group_IT_number 1
_space_group_name_Hall 'P 1'
loop_
_atom_site_label
_atom_site_fract_x
_atom_site_fract_y
_atom_site_fract_z
Y1 0.195 0.195 0.000
Y2 0.305 0.695 0.500
Y3 0.695 0.305 0.500
Y4 0.805 0.805 0.000
O1 0.154 0.846 0.000
O2 0.346 0.346 0.500
O3 0.654 0.654 0.500
O4 0.846 0.154 0.000
```


Entry 4:
Material: YO4
Method: DFT, PBE
State: optimized geometry

Summary:
formation energy without anion corrections	-446	meV per atom
total energy	-5.705	eV per atom
space group	No. 221
D(E_F)	0.7335	states/eV/atom

Structure (CIF):
```
data_YO4
_cell_length_a 4.498
_cell_length_b 4.498
_cell_length_c 4.498
_cell_angle_alpha 90.00
_cell_angle_beta 90.00
_cell_angle_gamma 90.00
_space_group_name_H-M_alt 'P 1'
_space_group_IT_number 1
_space_group_name_Hall 'P 1'
loop_
_atom_site_label
_atom_site_fract_x
_atom_site_fract_y
_atom_site_fract_z
Y1 0.000 0.000 0.000
O1 0.000 0.000 0.500
O2 0.000 0.500 0.000
O3 0.500 0.000 0.000
O4 0.500 0.500 0.500
```


Entry 5:
Material: Y3O2
Method: DFT, PBE
State: optimized geometry

Summary:
formation energy without anion corrections	-2194	meV per atom
total energy	-8.056	eV per atom
space group	No. 167
D(E_F)	0.9496	states/eV/atom

Structure (CIF):
```
data_Y3O2
_cell_length_a 6.620
_cell_length_b 6.620
_cell_length_c 6.620
_cell_angle_alpha 54.49
_cell_angle_beta 54.49
_cell_angle_gamma 54.49
_space_group_name_H-M_alt 'P 1'
_space_group_IT_number 1
_space_group_name_Hall 'P 1'
loop_
_atom_site_label
_atom_site_fract_x
_atom_site_fract_y
_atom_site_fract_z
Y1 0.076 0.750 0.424
Y2 0.250 0.576 0.924
Y3 0.424 0.076 0.750
Y4 0.576 0.924 0.250
Y5 0.750 0.424 0.076
Y6 0.924 0.250 0.576
O1 0.165 0.165 0.165
O2 0.335 0.335 0.335
O3 0.665 0.665 0.665
O4 0.835 0.835 0.835
```


Entry 6:
Material: YO
Method: DFT, PBE
State: optimized geometry

Summary:
formation energy without anion corrections	-2830	meV per atom
total energy	-8.541	eV per atom
space group	No. 176
D(E_F)	0.5225	states/eV/atom

Structure (CIF):
```
data_YO
_cell_length_a 8.692
_cell_length_b 8.692
_cell_length_c 3.874
_cell_angle_alpha 90.00
_cell_angle_beta 90.00
_cell_angle_gamma 120.00
_space_group_name_H-M_alt 'P 1'
_space_group_IT_number 1
_space_group_name_Hall 'P 1'
loop_
_atom_site_label
_atom_site_fract_x
_atom_site_fract_y
_atom_site_fract_z
Y1 0.117 0.693 0.250
Y2 0.307 0.424 0.250
Y3 0.424 0.117 0.750
Y4 0.576 0.883 0.250
Y5 0.693 0.576 0.750
Y6 0.883 0.307 0.750
O1 0.032 0.388 0.250
O2 0.356 0.968 0.250
O3 0.388 0.356 0.750
O4 0.612 0.644 0.250
O5 0.644 0.032 0.750
O6 0.968 0.612 0.750
```


Entry 7:
Material: YO
Method: DFT, PBE
State: optimized geometry

Summary:
formation energy without anion corrections	-2833	meV per atom
total energy	-8.545	eV per atom
space group	No. 156
D(E_F)	0.1482	states/eV/atom

Structure (CIF):
```
data_YO
_cell_length_a 3.556
_cell_length_b 3.556
_cell_length_c 6.068
_cell_angle_alpha 90.00
_cell_angle_beta 90.00
_cell_angle_gamma 120.00
_space_group_name_H-M_alt 'P 1'
_space_group_IT_number 1
_space_group_name_Hall 'P 1'
loop_
_atom_site_label
_atom_site_fract_x
_atom_site_fract_y
_atom_site_fract_z
Y1 0.000 0.000 0.000
Y2 0.333 0.667 0.480
O1 0.333 0.667 0.835
O2 0.667 0.333 0.201
```


Entry 8:
Material: YO3
Method: DFT, PBE
State: optimized geometry

Summary:
formation energy without anion corrections	-1497	meV per atom
energy above the most stable polymorph in this dataset	10	meV/atom
total energy	-6.832	eV per atom
space group	No. 176
D(E_F)	0.0437	states/eV/atom

Structure (CIF):
```
data_YO3
_cell_length_a 6.540
_cell_length_b 6.540
_cell_length_c 3.423
_cell_angle_alpha 90.00
_cell_angle_beta 90.00
_cell_angle_gamma 120.00
_space_group_name_H-M_alt 'P 1'
_space_group_IT_number 1
_space_group_name_Hall 'P 1'
loop_
_atom_site_label
_atom_site_fract_x
_atom_site_fract_y
_atom_site_fract_z
Y1 0.333 0.667 0.250
Y2 0.667 0.333 0.750
O1 0.057 0.424 0.750
O2 0.367 0.943 0.750
O3 0.424 0.367 0.250
O4 0.576 0.633 0.750
O5 0.633 0.057 0.250
O6 0.943 0.576 0.250
```


Q: Number 1 is which compound?
A: YO


Q: Among the records above, which one has the lowest D(E_F)?
A: YO3


Q: The highest total energy belongs to which entry?
A: YO4